DFT (PBE) results for a relaxed PaGaPb2 crystal.

Unit cell a=4.6542 b=4.6542 c=4.6646 alpha=90.00 beta=90.00 gamma=90.00
Last column: nearest neighbours and their distance in Å.
Space group P4/mmm (No. 123)
Symmetry-distinct sites (fractional):
Pa (0.0000, 0.0000, 0.0000) [1 per cell]  4 Ga 3.29, 8 Pb 3.29
Ga (0.5000, 0.5000, 0.0000) [1 per cell]  4 Pa 3.29, 8 Pb 3.29
Pb (0.0000, 0.5000, 0.5000) [2 per cell]  4 Pb 3.29, 4 Ga 3.29, 4 Pa 3.29

offset from the most stable computed form	0.000	kcal/mol of atoms
DFT formation energy	-81	meV/atom

***

DFT (PBE) results for a relaxed HfIn2CoCl crystal.

Unit cell a=5.9111 b=5.9111 c=4.4081 alpha=90.00 beta=90.00 gamma=90.00
Last column: nearest neighbours and their distance in Å.
Space group P4/mmm (No. 123)
Symmetry-distinct sites (fractional):
Hf (0.0000, 0.0000, 0.0000) [1 per cell]  2 Co 2.20
In (0.0000, 0.5000, 0.0000) [2 per cell]  2 Hf 2.96
Co (0.0000, 0.0000, 0.5000) [1 per cell]  2 Hf 2.20
Cl (0.5000, 0.5000, 0.5000) [1 per cell]  8 In 3.69

uncorrected formation energy	68.2	kJ per mole of atoms

***

DFT (PBE) results for a relaxed Rb2TiAsCl6 crystal.

Unit cell a=8.1682 b=8.1682 c=9.0939 alpha=90.00 beta=90.00 gamma=90.00
Last column: nearest neighbours and their distance in Å.
Space group I4/mmm (No. 139)
Symmetry-distinct sites (fractional):
Rb (0.0000, 0.5000, 0.2500) [4 per cell]  12 Cl 3.70-4.08
Ti (0.0000, 0.0000, 0.0000) [2 per cell]  6 Cl 2.25-2.43
As (0.0000, 0.0000, 0.5000) [2 per cell]  2 Cl 2.30
Cl (0.0000, 0.0000, 0.2473) [4 per cell]  1 Ti 2.25, 1 As 2.30
Cl (0.2106, 0.2106, 0.0000) [8 per cell]  1 Ti 2.43

uncorrected formation energy	-121.0	kJ per mole of atoms

***

DFT (PBE) results for a relaxed Hf3BeRu crystal.

Unit cell a=4.9253 b=4.9253 c=4.9253 alpha=90.00 beta=90.00 gamma=90.00
Last column: nearest neighbours and their distance in Å.
Space group Pm-3m (No. 221)
Symmetry-distinct sites (fractional):
Hf (0.0000, 0.0000, 0.5000) [3 per cell]  2 Ru 2.46
Be (0.5000, 0.5000, 0.5000) [1 per cell]  12 Hf 3.48
Ru (0.0000, 0.0000, 0.0000) [1 per cell]  6 Hf 2.46

offset from the most stable computed form	5.532	kcal/mol of atoms
DFT formation energy	714	meV/atom

***

DFT (PBE) results for a relaxed Pr4Sm3Sn4 crystal.

Unit cell a=3.6495 b=9.7557 c=19.3345 alpha=90.00 beta=90.00 gamma=90.00
Last column: nearest neighbours and their distance in Å.
Space group Immm (No. 71)
Symmetry-distinct sites (fractional):
Pr (0.0000, 0.1759, 0.1647) [8 per cell]  4 Sn 3.31-3.36, 3 Pr 3.43-3.65
Sm (0.0000, 0.0000, 0.4100) [4 per cell]  6 Sn 3.16-3.33, 1 Sm 3.48
Sm (0.0000, 0.5000, 0.5000) [2 per cell]  4 Sn 3.26, 2 Sm 3.65
Sn (0.0000, 0.2768, 0.0000) [4 per cell]  6 Sm 3.26-3.33, 2 Pr 3.33, 2 Sn 3.65
Sn (0.0000, 0.5000, 0.2236) [4 per cell]  2 Sm 3.16, 6 Pr 3.31-3.36

DFT formation energy	-567	meV/atom

***

DFT (PBE) results for a relaxed Cd4PSe2F crystal.

Unit cell a=7.7562 b=8.1052 c=11.0055 alpha=90.00 beta=90.00 gamma=90.00
Last column: nearest neighbours and their distance in Å.
Space group Imma (No. 74)
Symmetry-distinct sites (fractional):
Cd (0.0000, 0.0142, 0.2445) [8 per cell]  1 F 2.69, 2 P 2.72, 3 Se 2.81-2.89
Cd (0.2493, 0.2500, 0.4923) [8 per cell]  1 P 2.67, 3 Se 2.80-2.84, 2 F 2.81
P (0.2500, 0.2500, 0.2500) [4 per cell]  6 Cd 2.67-2.72
Se (0.0000, 0.0000, 0.5000) [4 per cell]  6 Cd 2.80-2.81
Se (0.2500, 0.2500, 0.7500) [4 per cell]  6 Cd 2.84-2.89
F (0.0000, 0.0000, 0.0000) [4 per cell]  6 Cd 2.69-2.81

uncorrected formation energy	-53.9	kJ per mole of atoms

***

DFT (PBE) results for a relaxed HgAuSe2 crystal.

Unit cell a=2.7469 b=2.7469 c=13.3100 alpha=90.00 beta=90.00 gamma=90.00
Last column: nearest neighbours and their distance in Å.
Space group P4mm (No. 99)
Symmetry-distinct sites (fractional):
Hg (0.0000, 0.0000, 0.0000) [1 per cell]  4 Hg 2.75
Au (0.5000, 0.5000, 0.7882) [1 per cell]  4 Au 2.75
Se (0.0000, 0.0000, 0.5671) [1 per cell]  4 Se 2.75
Se (0.5000, 0.5000, 0.2701) [1 per cell]  4 Se 2.75

uncorrected formation energy	26.2	kJ per mole of atoms

***

Total magnetization across the listed records, respectively: 0.0 0.6 2.0 0.0 0.0 0.0 0.0 μB per cell.
Energy across the listed records, respectively: -20.26 -20.85 -76.20 -39.29 -111.05 -89.52 -9.46 eV per cell.